# PaRu2Pb

A relaxed structure of PaRu2Pb (GGA-PBE, Alexandria).

* energy above the lowest structure with this stoichiometry: 0.00 eV/f.u.
* total moment: 0.0 μB/cell
* crystal system: tetragonal
* D(E_F): 0.716 states/eV/atom
* DFT formation energy: -0.17 eV per atom
* final energy: -32.5 eV per cell

a = 3.7421 Å, b = 4.5318 Å, c = 4.5318 Å
α = 90.00°, β = 90.00°, γ = 90.00°
With the nearest neighbours (Å) after each atom.
Atoms (fractional coordinates):
Ru 0.0000 0.0000 0.5000  4 Pb 2.94, 4 Pa 2.94, 4 Ru 3.20
Ru 0.0000 0.5000 0.0000  4 Pb 2.94, 4 Pa 2.94, 4 Ru 3.20
Pa 0.5000 0.5000 0.5000  8 Ru 2.94, 4 Pb 3.20
Pb 0.5000 0.0000 0.0000  8 Ru 2.94, 4 Pa 3.20

***

# TlMoPOsRu

A relaxed structure of TlMoPOsRu (GGA-PBE, Alexandria).

* energy above the lowest structure with this stoichiometry: 1.45 eV/f.u.
* total moment: 0.0 μB/cell
* crystal system: monoclinic
* D(E_F): 0.681 states/eV/atom
* DFT formation energy: 0.35 eV per atom
* final energy: -74.8 eV per cell

a = 6.4270 Å, b = 3.0034 Å, c = 9.0706 Å
α = 90.00°, β = 104.05°, γ = 90.00°
With the nearest neighbours (Å) after each atom.
Atoms (fractional coordinates):
Ru 0.4338 0.5000 0.3442  2 P 2.41, 2 Mo 2.70
Ru 0.4338 0.0000 0.8442  2 P 2.41, 2 Mo 2.70
Tl 0.1818 0.5000 0.5689  3 Os 2.84-2.87, 3 Ru 2.89-3.03, 2 Tl 3.00, 2 Mo 3.07
Tl 0.1818 0.0000 0.0689  3 Os 2.84-2.87, 3 Ru 2.89-3.03, 2 Tl 3.00, 2 Mo 3.07
Os 0.9648 0.0000 0.7557  2 P 2.40, 1 Mo 2.43
Os 0.9648 0.5000 0.2557  2 P 2.40, 1 Mo 2.43
P 0.7253 0.0000 0.3380  2 Os 2.40, 2 Ru 2.41, 3 Mo 2.60-2.65
P 0.7253 0.5000 0.8380  2 Os 2.40, 2 Ru 2.41, 3 Mo 2.60-2.65
Mo 0.6043 0.5000 0.0909  1 Os 2.43, 3 P 2.60-2.65, 2 Ru 2.70
Mo 0.6043 0.0000 0.5909  1 Os 2.43, 3 P 2.60-2.65, 2 Ru 2.70

***

Which value of D(E_F) does entry 2 give?
0.681 states/eV/atom

***

Which value of energy above the lowest structure with this stoichiometry does entry 2 give?
1.45 eV/f.u.

***

Look up the energy above the lowest structure with this stoichiometry of the second one.
1.45 eV/f.u.